Entry 1:
Computed, not measured: crystalline PmSmTm2Bi4 at its relaxed geometry at the PBE-GGA level of DFT.

abc: 7.789 4.507 7.801
angles: 90.00 109.50 90.00
Space group P2/m (No. 10)
Asymmetric unit:
Pm: 0.000 0.000 0.000 x1
Sm: 0.000 0.500 0.500 x1
Tm: 0.500 0.000 0.500 x1
Tm: 0.500 0.500 0.000 x1
Bi: 0.259 0.000 0.752 x2
Bi: 0.260 0.500 0.254 x2

**Total moment**: 0.00 μB per cell
**DOS at the Fermi energy**: 0.155 states/eV/atom
**E_form**: -19.7 kcal/mol of atoms



Entry 2:
Computed, not measured: crystalline Pm2SmTmBi5 at its relaxed geometry at the PBE-GGA level of DFT.

abc: 5.524 5.524 11.860
angles: 90.00 90.00 90.00
Space group P4/mmm (No. 123)
Asymmetric unit:
Pm: 0.000 0.000 0.224 x2
Sm: 0.500 0.500 0.000 x1
Tm: 0.500 0.500 0.500 x1
Bi: 0.000 0.000 0.500 x1
Bi: 0.000 0.500 0.000 x2
Bi: 0.500 0.500 0.257 x2

**Total moment**: 0.00 μB per cell
**DOS at the Fermi energy**: 0.640 states/eV/atom
**E_form**: -0.2 kcal/mol of atoms



Entry 3:
Computed, not measured: crystalline Pm3SmTm2Bi6 at its relaxed geometry at the PBE-GGA level of DFT.

abc: 19.724 4.529 9.051
angles: 90.00 103.17 90.00
Space group C2/m (No. 12)
Asymmetric unit:
Pm: 0.000 0.000 0.000 x2
Pm: 0.165 0.500 0.332 x4
Sm: 0.000 0.000 0.500 x2
Tm: 0.167 0.500 0.833 x4
Bi: 0.003 0.500 0.751 x4
Bi: 0.167 0.000 0.590 x4
Bi: 0.169 0.000 0.077 x4

**Total moment**: 0.00 μB per cell
**DOS at the Fermi energy**: 0.169 states/eV/atom
**E_form**: -20.3 kcal/mol of atoms



Entry 4:
Computed, not measured: crystalline Pm2SmTmBi4 at its relaxed geometry at the PBE-GGA level of DFT.

abc: 7.858 4.542 7.860
angles: 90.00 109.49 90.00
Space group P2/m (No. 10)
Asymmetric unit:
Pm: 0.000 0.000 0.000 x1
Pm: 0.000 0.500 0.500 x1
Sm: 0.500 0.000 0.500 x1
Tm: 0.500 0.500 0.000 x1
Bi: 0.254 0.500 0.247 x2
Bi: 0.257 0.000 0.756 x2

**Total moment**: 0.00 μB per cell
**DOS at the Fermi energy**: 0.152 states/eV/atom
**E_form**: -20.6 kcal/mol of atoms



Entry 5:
Computed, not measured: crystalline Pm2Sm3TmBi6 at its relaxed geometry at the PBE-GGA level of DFT.

abc: 19.805 4.546 9.089
angles: 90.00 103.24 90.00
Space group C2/m (No. 12)
Asymmetric unit:
Pm: 0.166 0.000 0.332 x4
Sm: 0.000 0.500 0.500 x2
Sm: 0.168 0.000 0.834 x4
Tm: 0.000 0.500 0.000 x2
Bi: 0.001 0.000 0.757 x4
Bi: 0.164 0.500 0.081 x4
Bi: 0.167 0.500 0.584 x4

**Total moment**: 0.00 μB per cell
**DOS at the Fermi energy**: 0.169 states/eV/atom
**E_form**: -20.8 kcal/mol of atoms



Entry 6:
Computed, not measured: crystalline PmSm2Tm3Bi6 at its relaxed geometry at the PBE-GGA level of DFT.

abc: 19.600 4.501 8.995
angles: 90.00 103.11 90.00
Space group C2/m (No. 12)
Asymmetric unit:
Pm: 0.000 0.000 0.000 x2
Sm: 0.167 0.500 0.333 x4
Tm: 0.000 0.000 0.500 x2
Tm: 0.166 0.500 0.833 x4
Bi: 0.002 0.500 0.744 x4
Bi: 0.165 0.000 0.588 x4
Bi: 0.169 0.000 0.078 x4

**Total moment**: 0.00 μB per cell
**DOS at the Fermi energy**: 0.166 states/eV/atom
**E_form**: -19.7 kcal/mol of atoms



Entry 7:
Computed, not measured: crystalline Pm3Sm2TmBi6 at its relaxed geometry at the PBE-GGA level of DFT.

abc: 19.817 4.549 9.095
angles: 90.00 103.22 90.00
Space group C2/m (No. 12)
Asymmetric unit:
Pm: 0.000 0.000 0.000 x2
Pm: 0.168 0.500 0.334 x4
Sm: 0.166 0.500 0.833 x4
Tm: 0.000 0.000 0.500 x2
Bi: 0.000 0.500 0.257 x4
Bi: 0.164 0.000 0.582 x4
Bi: 0.167 0.000 0.082 x4

**Total moment**: 0.00 μB per cell
**DOS at the Fermi energy**: 0.169 states/eV/atom
**E_form**: -20.9 kcal/mol of atoms



Entry 8:
Computed, not measured: crystalline PmSm2TmBi4 at its relaxed geometry at the PBE-GGA level of DFT.

abc: 7.850 4.536 7.852
angles: 90.00 109.49 90.00
Space group P2/m (No. 10)
Asymmetric unit:
Pm: 0.000 0.000 0.000 x1
Sm: 0.000 0.500 0.500 x1
Sm: 0.500 0.000 0.500 x1
Tm: 0.500 0.500 0.000 x1
Bi: 0.254 0.500 0.248 x2
Bi: 0.256 0.000 0.755 x2

**Total moment**: 0.00 μB per cell
**DOS at the Fermi energy**: 0.152 states/eV/atom
**E_form**: -20.5 kcal/mol of atoms



Entry 9:
Computed, not measured: crystalline PmSm3Tm2Bi6 at its relaxed geometry at the PBE-GGA level of DFT.

abc: 19.699 4.522 9.040
angles: 90.00 103.20 90.00
Space group C2/m (No. 12)
Asymmetric unit:
Pm: 0.000 0.000 0.000 x2
Sm: 0.000 0.000 0.500 x2
Sm: 0.165 0.500 0.832 x4
Tm: 0.167 0.500 0.333 x4
Bi: 0.003 0.500 0.252 x4
Bi: 0.168 0.000 0.090 x4
Bi: 0.169 0.000 0.578 x4

**Total moment**: 0.00 μB per cell
**DOS at the Fermi energy**: 0.168 states/eV/atom
**E_form**: -20.2 kcal/mol of atoms



Entry 10:
Computed, not measured: crystalline PmSm2TmBi5 at its relaxed geometry at the PBE-GGA level of DFT.

abc: 5.363 5.363 12.059
angles: 90.00 90.00 90.00
Space group P4/mmm (No. 123)
Asymmetric unit:
Pm: 0.000 0.000 0.000 x1
Sm: 0.500 0.500 0.268 x2
Tm: 0.000 0.000 0.500 x1
Bi: 0.000 0.000 0.249 x2
Bi: 0.000 0.500 0.500 x2
Bi: 0.500 0.500 0.000 x1

**Total moment**: 0.00 μB per cell
**DOS at the Fermi energy**: 0.689 states/eV/atom
**E_form**: -2.8 kcal/mol of atoms



Entry 11:
Computed, not measured: crystalline Pm2SmY3Bi6 at its relaxed geometry at the PBE-GGA level of DFT.

abc: 7.847 13.593 7.834
angles: 90.00 109.49 90.00
Space group C2/m (No. 12)
Asymmetric unit:
Pm: 0.000 0.166 0.000 x4
Sm: 0.000 0.500 0.000 x2
Y: 0.000 0.000 0.500 x2
Y: 0.000 0.333 0.500 x4
Bi: 0.247 0.500 0.744 x4
Bi: 0.249 0.166 0.744 x8

**Total moment**: 0.00 μB per cell
**DOS at the Fermi energy**: 0.188 states/eV/atom
**E_form**: -21.1 kcal/mol of atoms



Entry 12:
Computed, not measured: crystalline Pm2SmYBi5 at its relaxed geometry at the PBE-GGA level of DFT.

abc: 5.518 5.518 11.930
angles: 90.00 90.00 90.00
Space group P4/mmm (No. 123)
Asymmetric unit:
Pm: 0.000 0.000 0.226 x2
Sm: 0.500 0.500 0.000 x1
Y: 0.500 0.500 0.500 x1
Bi: 0.000 0.000 0.500 x1
Bi: 0.000 0.500 0.000 x2
Bi: 0.500 0.500 0.256 x2

**Total moment**: 0.00 μB per cell
**DOS at the Fermi energy**: 0.682 states/eV/atom
**E_form**: -0.9 kcal/mol of atoms



Entry 13:
Computed, not measured: crystalline Pm3Sm2YBi6 at its relaxed geometry at the PBE-GGA level of DFT.

abc: 19.856 4.559 9.111
angles: 90.00 103.21 90.00
Space group C2/m (No. 12)
Asymmetric unit:
Pm: 0.000 0.000 0.000 x2
Pm: 0.167 0.500 0.334 x4
Sm: 0.166 0.500 0.833 x4
Y: 0.000 0.000 0.500 x2
Bi: 0.000 0.500 0.254 x4
Bi: 0.165 0.000 0.583 x4
Bi: 0.167 0.000 0.083 x4

**Total moment**: 0.00 μB per cell
**DOS at the Fermi energy**: 0.169 states/eV/atom
**E_form**: -21.4 kcal/mol of atoms



Entry 14:
Computed, not measured: crystalline Pm3SmY2Bi6 at its relaxed geometry at the PBE-GGA level of DFT.

abc: 19.799 4.546 9.085
angles: 90.00 103.18 90.00
Space group C2/m (No. 12)
Asymmetric unit:
Pm: 0.000 0.000 0.000 x2
Pm: 0.166 0.500 0.333 x4
Sm: 0.000 0.000 0.500 x2
Y: 0.167 0.500 0.833 x4
Bi: 0.002 0.500 0.750 x4
Bi: 0.167 0.000 0.587 x4
Bi: 0.168 0.000 0.080 x4

**Total moment**: 0.00 μB per cell
**DOS at the Fermi energy**: 0.169 states/eV/atom
**E_form**: -21.3 kcal/mol of atoms



Entry 15:
Computed, not measured: crystalline PmSm2Y3Bi6 at its relaxed geometry at the PBE-GGA level of DFT.

abc: 19.712 4.526 9.046
angles: 90.00 103.15 90.00
Space group C2/m (No. 12)
Asymmetric unit:
Pm: 0.000 0.000 0.000 x2
Sm: 0.167 0.500 0.333 x4
Y: 0.000 0.000 0.500 x2
Y: 0.166 0.500 0.833 x4
Bi: 0.001 0.500 0.746 x4
Bi: 0.166 0.000 0.586 x4
Bi: 0.168 0.000 0.081 x4

**Total moment**: 0.00 μB per cell
**DOS at the Fermi energy**: 0.169 states/eV/atom
**E_form**: -21.1 kcal/mol of atoms



Entry 16:
Computed, not measured: crystalline PmSmZnBi at its relaxed geometry at the PBE-GGA level of DFT.

abc: 7.623 7.623 7.623
angles: 90.00 90.00 90.00
Space group F-43m (No. 216)
Asymmetric unit:
Pm: 0.000 0.000 0.000 x4
Sm: 0.000 0.000 0.500 x4
Zn: 0.250 0.250 0.750 x4
Bi: 0.250 0.250 0.250 x4

**Total moment**: 0.00 μB per cell
**DOS at the Fermi energy**: 0.630 states/eV/atom
**E_form**: -10.4 kcal/mol of atoms



Entry 17:
Computed, not measured: crystalline Pm2SnBi5 at its relaxed geometry at the PBE-GGA level of DFT.

abc: 9.558 11.671 4.559
angles: 90.00 90.00 90.00
Space group Pbam (No. 55)
Asymmetric unit:
Pm: 0.079 0.195 0.000 x4
Sn: 0.000 0.500 0.500 x2
Bi: 0.000 0.000 0.500 x2
Bi: 0.168 0.735 0.500 x4
Bi: 0.223 0.458 0.000 x4

**Total moment**: 0.00 μB per cell
**DOS at the Fermi energy**: 0.471 states/eV/atom
**E_form**: -9.4 kcal/mol of atoms



Entry 18:
Computed, not measured: crystalline Pm4SnBi2 at its relaxed geometry at the PBE-GGA level of DFT.

abc: 15.667 4.611 7.771
angles: 90.00 118.64 90.00
Space group C2/m (No. 12)
Asymmetric unit:
Pm: 0.115 0.000 0.304 x4
Pm: 0.117 0.500 0.763 x4
Sn: 0.000 0.500 0.000 x2
Bi: 0.243 0.500 0.235 x4

**Total moment**: 0.00 μB per cell
**DOS at the Fermi energy**: 1.057 states/eV/atom
**E_form**: -13.1 kcal/mol of atoms



Entry 19:
Computed, not measured: crystalline Pm5Sn2Bi at its relaxed geometry at the PBE-GGA level of DFT.

abc: 8.370 8.370 14.223
angles: 90.00 90.00 90.00
Space group I4/mcm (No. 140)
Asymmetric unit:
Pm: 0.000 0.000 0.000 x4
Pm: 0.159 0.341 0.148 x16
Sn: 0.140 0.360 0.500 x8
Bi: 0.000 0.000 0.250 x4

**Total moment**: 9.77 μB per cell
**DOS at the Fermi energy**: 1.063 states/eV/atom
**E_form**: -15.7 kcal/mol of atoms



Entry 20:
Computed, not measured: crystalline Pm7Sn3Bi at its relaxed geometry at the PBE-GGA level of DFT.

abc: 11.404 11.857 6.065
angles: 90.00 121.92 90.00
Space group C2/m (No. 12)
Asymmetric unit:
Pm: 0.000 0.000 0.000 x2
Pm: 0.166 0.266 0.667 x8
Pm: 0.171 0.500 0.171 x4
Sn: 0.000 0.267 0.000 x4
Sn: 0.000 0.500 0.500 x2
Bi: 0.000 0.000 0.500 x2

**Total moment**: 0.92 μB per cell
**DOS at the Fermi energy**: 1.307 states/eV/atom
**E_form**: -10.0 kcal/mol of atoms



no.,uncorrected energy (eV per formula unit)
1,-40.77
2,-38.19
3,-61.78
4,-41.36
5,-62.26
6,-61.14
7,-62.33
8,-41.29
9,-61.65
10,-39.15
11,-67.89
12,-40.44
13,-64.57
14,-66.26
15,-67.83
16,-16.43
17,-36.18
18,-34.76
19,-41.07
20,-53.93